The following is a DFT calculation (PBE) of crystalline Lu2FeN at its relaxed geometry.

Summary:
Energy relative to the elements, uncorrected: -0.362 eV per atom

Cell lengths 3.2437, 3.2437, 24.1149 Å; angles 90.00, 90.00, 120.00 degrees
Space group R-3m (No. 166, hexagonal axes)
Asymmetric unit:
Lu 0.0000 0.0000 0.1110 [6 per cell]
Fe 0.0000 0.0000 0.0000 [3 per cell]
N 0.0000 0.0000 0.5000 [3 per cell]


The following is a DFT calculation (PBE) of crystalline Dy2TiO5 at its relaxed geometry.

Summary:
Energy relative to the elements, uncorrected: -3.410 eV per atom
E above lowest polymorph: 43 meV/atom

Cell lengths 7.547, 3.606, 15.544 Å; angles 90.00, 90.00, 90.00 degrees
Space group Pnma (No. 62)
Asymmetric unit:
Dy 0.130 0.250 0.240 [4 per cell]
Dy 0.141 0.250 0.575 [4 per cell]
Ti 0.139 0.250 0.919 [4 per cell]
O 0.088 0.750 0.149 [4 per cell]
O 0.104 0.750 0.671 [4 per cell]
O 0.108 0.750 0.959 [4 per cell]
O 0.142 0.750 0.488 [4 per cell]
O 0.233 0.750 0.319 [4 per cell]


The following is a DFT calculation (PBE) of crystalline ZrBiAu3 at its relaxed geometry.

Summary:
E above lowest polymorph: 0 meV/atom
DFT formation energy: 596 meV per atom

Cell lengths 5.225, 5.225, 5.225 Å; angles 90.00, 90.00, 90.00 degrees
Space group Pm-3m (No. 221)
Asymmetric unit:
Zr 0.000 0.000 0.000 [1 per cell]
Bi 0.500 0.500 0.500 [1 per cell]
Au 0.000 0.000 0.500 [3 per cell]